1.
Ta4NbTc3: relaxed, PBE.

Results
For the size of the total moment, the calculation gives 0.0 μB/f.u. Its formation energy is -3.08 eV per formula unit. Its total energy is -11.458 eV/atom. The density comes out at 13.81 g cm⁻³.

```
data_Ta4NbTc3
_chemical_formula_sum 'Ta4 Nb1 Tc3'
_cell_length_a 3.2024
_cell_length_b 3.2024
_cell_length_c 13.0275
_cell_angle_alpha 90.00
_cell_angle_beta 90.00
_cell_angle_gamma 90.00
_space_group_name_H-M_alt 'P 1'
_space_group_IT_number 1
loop_
_space_group_symop_operation_xyz
'x,y,z'
loop_
_atom_site_label
_atom_site_fract_x
_atom_site_fract_y
_atom_site_fract_z
Ta1 0.0000 0.0000 0.1221
Ta2 0.0000 0.0000 0.3662
Ta3 0.0000 0.0000 0.6338
Ta4 0.0000 0.0000 0.8779
Nb1 0.5000 0.5000 0.5000
Tc1 0.5000 0.5000 0.0000
Tc2 0.5000 0.5000 0.2445
Tc3 0.5000 0.5000 0.7555
```

2.
CaO2F3: relaxed, PBE.

Results
For the size of the total moment, the calculation gives 2.1 μB/f.u. Its total energy is -4.066 eV/atom. Its formation energy without anion corrections is -1.14 eV per atom. The density comes out at 2.16 g cm⁻³.

```
data_CaO2F3
_chemical_formula_sum 'Ca2 O4 F6'
_cell_length_a 8.3717
_cell_length_b 8.3717
_cell_length_c 3.6706
_cell_angle_alpha 96.27
_cell_angle_beta 96.27
_cell_angle_gamma 50.87
_space_group_name_H-M_alt 'P 1'
_space_group_IT_number 1
loop_
_space_group_symop_operation_xyz
'x,y,z'
loop_
_atom_site_label
_atom_site_fract_x
_atom_site_fract_y
_atom_site_fract_z
Ca1 0.2391 0.7609 0.7500
Ca2 0.7609 0.2391 0.2500
O1 0.3071 0.3093 0.6474
O2 0.3093 0.3071 0.1474
O3 0.6907 0.6929 0.8526
O4 0.6929 0.6907 0.3526
F1 0.0939 0.0938 0.0469
F2 0.0938 0.0939 0.5469
F3 0.3797 0.6203 0.2500
F4 0.6203 0.3797 0.7500
F5 0.9062 0.9061 0.4531
F6 0.9061 0.9062 0.9531
```

3.
SbTe3Au: relaxed, PBE.

Results
For the size of the total moment, the calculation gives 0.0 μB/f.u. The energy above the most stable polymorph in this dataset is 19 meV per atom. Its total energy is -3.318 eV/atom. Its formation energy without anion corrections is 0.05 eV per atom. The density comes out at 7.21 g cm⁻³.

```
data_SbTe3Au
_chemical_formula_sum 'Sb2 Te6 Au2'
_cell_length_a 8.0617
_cell_length_b 8.0617
_cell_length_c 8.0617
_cell_angle_alpha 54.53
_cell_angle_beta 54.53
_cell_angle_gamma 54.53
_space_group_name_H-M_alt 'P 1'
_space_group_IT_number 1
loop_
_space_group_symop_operation_xyz
'x,y,z'
loop_
_atom_site_label
_atom_site_fract_x
_atom_site_fract_y
_atom_site_fract_z
Sb1 0.1481 0.1481 0.1481
Sb2 0.8519 0.8519 0.8519
Te1 0.0559 0.7260 0.4493
Te2 0.2740 0.5507 0.9441
Te3 0.4493 0.0559 0.7260
Te4 0.5507 0.9441 0.2740
Te5 0.7260 0.4493 0.0559
Te6 0.9441 0.2740 0.5507
Au1 0.3428 0.3428 0.3428
Au2 0.6572 0.6572 0.6572
```